Below is a geometry-optimized BaLaTaMnO6 structure, with properties calculated at the GGA+U level.

The calculation puts the density at 7.19 g/cm3. The calculation puts the total DFT energy (no corrections) at -8.364 eV/atom. The magnetization is 20.0 μB per cell.

The structure belongs to space group F-43m (No. 216); the cell edges are 8.251, 8.251 and 8.251 Å and the angles 90.00°, 90.00° and 90.00°. Symmetry generates all atoms from Ba at (0.000, 0.000, 0.000), La at (0.000, 0.000, 0.500), Ta at (0.250, 0.250, 0.750), Mn at (0.250, 0.250, 0.250) and O at (0.009, 0.250, 0.750).